## Sr3HfIr (GGA-PBE)

Data for a geometry-optimized Sr3HfIr structure.

Summary:
offset from the most stable computed form: 0 meV per atom
space group: No. 221
volume: 191 Å³/cell
energy of formation from the pure elements: 14.30 kcal/mol of atoms
DOS(E_F): 9.0 states/eV/cell

abc: 5.755 5.755 5.755
angles: 90.00 90.00 90.00
Fractional coordinates of all 5 atoms:
Sr (0.000, 0.000, 0.500)
Sr (0.000, 0.500, 0.000)
Sr (0.500, 0.000, 0.000)
Hf (0.500, 0.500, 0.500)
Ir (0.000, 0.000, 0.000)



## CdIn2Cl4 (GGA-PBE)

Data for a geometry-optimized CdIn2Cl4 structure.

Summary:
offset from the most stable computed form: 43 meV per atom
space group: No. 139
formation energy without anion corrections: -86.5 kJ per mole of atoms
volume: 218 Å³/cell
DOS(E_F): 0.0 states/eV/cell

abc: 8.632 8.632 8.632
angles: 144.30 144.30 51.38
Fractional coordinates of all 7 atoms:
Cd (0.000, 0.000, 0.000)
In (0.359, 0.359, 0.000)
In (0.641, 0.641, 0.000)
Cl (0.000, 0.500, 0.500)
Cl (0.168, 0.168, 0.000)
Cl (0.500, 0.000, 0.500)
Cl (0.832, 0.832, 0.000)



## MgW5 (GGA-PBE)

Data for a geometry-optimized MgW5 structure.

Summary:
offset from the most stable computed form: 216 meV per atom
space group: No. 191
volume: 112 Å³/cell
energy of formation from the pure elements: 13.25 kcal/mol of atoms
DOS(E_F): 4.0 states/eV/cell

abc: 5.375 5.375 4.490
angles: 90.00 90.00 120.00
Fractional coordinates of all 6 atoms:
Mg (0.000, 0.000, 0.000)
W (0.000, 0.500, 0.500)
W (0.333, 0.667, 0.000)
W (0.500, 0.000, 0.500)
W (0.500, 0.500, 0.500)
W (0.667, 0.333, 0.000)



## Te2PdIBr (GGA-PBE)

Data for a geometry-optimized Te2PdIBr structure.

Summary:
offset from the most stable computed form: 778 meV per atom
space group: No. 123
formation energy without anion corrections: 101.2 kJ per mole of atoms
volume: 182 Å³/cell
DOS(E_F): 9.0 states/eV/cell

abc: 5.618 5.618 5.765
angles: 90.00 90.00 90.00
Fractional coordinates of all 5 atoms:
Te (0.000, 0.500, 0.000)
Te (0.500, 0.000, 0.000)
Pd (0.000, 0.000, 0.500)
I (0.500, 0.500, 0.500)
Br (0.500, 0.500, 0.000)



## ThTa2C (GGA-PBE)

Data for a geometry-optimized ThTa2C structure.

Summary:
space group: No. 166
volume: 75 Å³/cell
energy of formation from the pure elements: 2.00 kcal/mol of atoms
DOS(E_F): 5.6 states/eV/cell

abc: 8.686 8.686 8.686
angles: 21.24 21.24 21.24
Fractional coordinates of all 4 atoms:
Th (0.000, 0.000, 0.000)
Ta (0.120, 0.120, 0.120)
Ta (0.880, 0.880, 0.880)
C (0.500, 0.500, 0.500)



## AcIO4 (GGA-PBE)

Data for a geometry-optimized AcIO4 structure.

Summary:
offset from the most stable computed form: 145 meV per atom
space group: No. 14
formation energy without anion corrections: -149.8 kJ per mole of atoms
volume: 190 Å³/cell

abc: 5.755 5.708 5.829
angles: 90.00 97.41 90.00
Fractional coordinates of all 12 atoms:
Ac (0.000, 0.000, 0.000)
Ac (0.000, 0.500, 0.500)
I (0.500, 0.000, 0.500)
I (0.500, 0.500, 0.000)
O (0.189, 0.147, 0.386)
O (0.189, 0.353, 0.886)
O (0.350, 0.706, 0.263)
O (0.350, 0.794, 0.763)
O (0.650, 0.206, 0.237)
O (0.650, 0.294, 0.737)
O (0.811, 0.647, 0.114)
O (0.811, 0.853, 0.614)



## Sc4CdAgHg2 (GGA-PBE)

Data for a geometry-optimized Sc4CdAgHg2 structure.

Summary:
space group: No. 166
volume: 172 Å³/cell
energy of formation from the pure elements: -8.38 kcal/mol of atoms
DOS(E_F): 5.6 states/eV/cell

abc: 8.576 8.576 8.576
angles: 33.56 33.56 33.56
Fractional coordinates of all 8 atoms:
Sc (0.122, 0.122, 0.122)
Sc (0.373, 0.373, 0.373)
Sc (0.627, 0.627, 0.627)
Sc (0.878, 0.878, 0.878)
Cd (0.500, 0.500, 0.500)
Ag (0.000, 0.000, 0.000)
Hg (0.248, 0.248, 0.248)
Hg (0.752, 0.752, 0.752)



## Ba6TeAs2I3 (GGA-PBE)

Data for a geometry-optimized Ba6TeAs2I3 structure.

Summary:
space group: No. 12
formation energy without anion corrections: -146.7 kJ per mole of atoms
volume: 519 Å³/cell
DOS(E_F): 4.0 states/eV/cell

abc: 8.502 8.502 8.760
angles: 99.33 99.33 119.99
Fractional coordinates of all 12 atoms:
Ba (0.078, 0.429, 0.787)
Ba (0.220, 0.220, 0.211)
Ba (0.429, 0.078, 0.787)
Ba (0.571, 0.922, 0.213)
Ba (0.780, 0.780, 0.789)
Ba (0.922, 0.571, 0.213)
Te (0.500, 0.500, 0.000)
As (0.167, 0.833, 0.000)
As (0.833, 0.167, 0.000)
I (0.000, 0.000, 0.500)
I (0.338, 0.662, 0.500)
I (0.662, 0.338, 0.500)



## Co2SeBr (GGA-PBE)

Data for a geometry-optimized Co2SeBr structure.

Summary:
offset from the most stable computed form: 582 meV per atom
space group: No. 47
formation energy without anion corrections: 50.2 kJ per mole of atoms
volume: 80 Å³/cell
DOS(E_F): 6.6 states/eV/cell

abc: 3.418 3.526 6.639
angles: 90.00 90.00 90.00
Fractional coordinates of all 4 atoms:
Co (0.000, 0.000, 0.000)
Co (0.500, 0.000, 0.500)
Se (0.000, 0.500, 0.500)
Br (0.500, 0.500, 0.000)



## Y2Cu5Ni4 (GGA-PBE)

Data for a geometry-optimized Y2Cu5Ni4 structure.

Summary:
space group: No. 69
volume: 167 Å³/cell
energy of formation from the pure elements: -4.21 kcal/mol of atoms
DOS(E_F): 4.4 states/eV/cell

abc: 8.992 8.318 4.900
angles: 81.30 66.11 32.59
Fractional coordinates of all 11 atoms:
Y (0.135, 0.135, 0.865)
Y (0.865, 0.865, 0.135)
Cu (0.000, 0.000, 0.500)
Cu (0.250, 0.250, 0.250)
Cu (0.500, 0.500, 0.000)
Cu (0.500, 0.500, 0.500)
Cu (0.750, 0.750, 0.750)
Ni (0.211, 0.534, 0.466)
Ni (0.466, 0.789, 0.211)
Ni (0.534, 0.211, 0.789)
Ni (0.789, 0.466, 0.534)



## La3Pr8Ho2 (GGA-PBE)

Data for a geometry-optimized La3Pr8Ho2 structure.

Summary:
offset from the most stable computed form: 69 meV per atom
space group: No. 12
volume: 477 Å³/cell
energy of formation from the pure elements: 4.76 kcal/mol of atoms
DOS(E_F): 20.9 states/eV/cell

abc: 11.114 11.114 5.874
angles: 90.10 90.10 41.09
Fractional coordinates of all 13 atoms:
La (0.000, 0.000, 0.000)
La (0.291, 0.709, 0.500)
La (0.709, 0.291, 0.500)
Pr (0.136, 0.136, 0.498)
Pr (0.182, 0.599, 0.999)
Pr (0.323, 0.323, 0.497)
Pr (0.401, 0.818, 0.001)
Pr (0.599, 0.182, 0.999)
Pr (0.677, 0.677, 0.503)
Pr (0.818, 0.401, 0.001)
Pr (0.864, 0.864, 0.502)
Ho (0.241, 0.241, 0.996)
Ho (0.759, 0.759, 0.004)